Compound: Nd5TlZn4
Source: Alexandria via LeMat-Bulk
Functional: PBE-GGA
Structure: relaxed

Lattice parameters (Å, degrees): 3.6982 3.6982 19.0292 90.00 90.00 90.00
With the nearest neighbours (Å) after each atom.
Positions (direct):
Tl 0.0000 0.0000 0.0000  8 Nd 3.41, 4 Tl 3.70
Nd 0.5000 0.5000 0.1151  4 Zn 3.20, 4 Tl 3.41
Nd 0.5000 0.5000 0.6934  8 Zn 3.18-3.19
Nd 0.5000 0.5000 0.3066  8 Zn 3.18-3.19
Nd 0.5000 0.5000 0.5000  8 Zn 3.21
Nd 0.5000 0.5000 0.8849  4 Zn 3.20, 4 Tl 3.41
Zn 0.0000 0.0000 0.5976  8 Nd 3.19-3.21
Zn 0.0000 0.0000 0.4024  8 Nd 3.19-3.21
Zn 0.0000 0.0000 0.7884  8 Nd 3.18-3.20
Zn 0.0000 0.0000 0.2116  8 Nd 3.18-3.20

Output
- Raw total energy: -3.4516 eV/atom
- SG: No. 123
- Formation energy: -0.322 eV/atom